Density functional theory data (PBE) for a relaxed structure of Co5Ir.

It has space group F-43m (No. 216), with a = 6.579 Å, b = 6.579 Å, c = 6.579 Å, α = 90.00°, β = 90.00° and γ = 90.00°. The asymmetric unit holds Co at (0.000, 0.000, 0.000), Co at (0.125, 0.125, 0.375) and Ir at (0.250, 0.250, 0.750).

=====

Density functional theory data (PBE) for a relaxed structure of Co5Ir4.

It has space group I4/mmm (No. 139), with a = 7.863 Å, b = 7.863 Å, c = 3.673 Å, α = 90.00°, β = 90.00° and γ = 90.00°. The asymmetric unit holds Co at (0.000, 0.000, 0.000), Co at (0.000, 0.338, 0.000) and Ir at (0.166, 0.166, 0.500).

=====

Density functional theory data (PBE) for a relaxed structure of CoIr.

It has space group Pnma (No. 62), with a = 4.580 Å, b = 4.244 Å, c = 5.254 Å, α = 90.00°, β = 90.00° and γ = 90.00°. The asymmetric unit holds Co at (0.082, 0.250, 0.126) and Ir at (0.088, 0.250, 0.627).

=====

Density functional theory data (PBE) for a relaxed structure of Co5Ir.

It has space group P6/mmm (No. 191), with a = 4.6088 Å, b = 4.6088 Å, c = 4.0183 Å, α = 90.00°, β = 90.00° and γ = 120.00°. The asymmetric unit holds Co at (0.0000, 0.5000, 0.0000), Co at (0.3333, 0.6667, 0.5000) and Ir at (0.0000, 0.0000, 0.5000).

=====

Density functional theory data (PBE) for a relaxed structure of CoIr2.

It has space group P-62m (No. 189), with a = 7.1716 Å, b = 7.1716 Å, c = 2.6983 Å, α = 90.00°, β = 90.00° and γ = 120.00°. The asymmetric unit holds Co at (0.0000, 0.0000, 0.0000), Co at (0.3333, 0.6667, 0.5000), Ir at (0.0000, 0.2990, 0.5000) and Ir at (0.0000, 0.6348, 0.0000).

=====

Density functional theory data (PBE) for a relaxed structure of CoIr.

It has space group R-3m (No. 166, hexagonal axes), with a = 2.6689 Å, b = 2.6689 Å, c = 12.6171 Å, α = 90.00°, β = 90.00° and γ = 120.00°. The asymmetric unit holds Co at (0.0000, 0.0000, 0.0000) and Ir at (0.0000, 0.0000, 0.5000).

=====

Density functional theory data (PBE) for a relaxed structure of Co3Ir4.

It has space group I4/mmm (No. 139), with a = 3.171 Å, b = 3.171 Å, c = 18.580 Å, α = 90.00°, β = 90.00° and γ = 90.00°. The asymmetric unit holds Co at (0.000, 0.000, 0.000), Co at (0.000, 0.000, 0.282), Ir at (0.000, 0.000, 0.147) and Ir at (0.000, 0.000, 0.430).

=====

Density functional theory data (PBE) for a relaxed structure of CoIr2.

It has space group P-3m1 (No. 164), with a = 2.6937 Å, b = 2.6937 Å, c = 6.4502 Å, α = 90.00°, β = 90.00° and γ = 120.00°. The asymmetric unit holds Co at (0.0000, 0.0000, 0.0000) and Ir at (0.3333, 0.6667, 0.3228).

=====

Density functional theory data (PBE) for a relaxed structure of CoIr.

It has space group P4/nmm (No. 129, origin choice 2), with a = 2.686 Å, b = 2.686 Å, c = 7.118 Å, α = 90.00°, β = 90.00° and γ = 90.00°. The asymmetric unit holds Co at (0.250, 0.250, 0.111) and Ir at (0.250, 0.250, 0.636).

=====

Density functional theory data (PBE) for a relaxed structure of CoIr.

It has space group Fd-3m (No. 227, origin choice 2), with a = 5.975 Å, b = 5.975 Å, c = 5.975 Å, α = 90.00°, β = 90.00° and γ = 90.00°. The asymmetric unit holds Co at (0.125, 0.125, 0.125) and Ir at (0.125, 0.125, 0.625).

=====

Density functional theory data (PBE) for a relaxed structure of CoIr2.

It has space group P6/mmm (No. 191), with a = 4.3096 Å, b = 4.3096 Å, c = 2.6566 Å, α = 90.00°, β = 90.00° and γ = 120.00°. The asymmetric unit holds Co at (0.0000, 0.0000, 0.0000) and Ir at (0.3333, 0.6667, 0.5000).

=====

Density functional theory data (PBE) for a relaxed structure of CoIr2.

It has space group Imma (No. 74), with a = 2.657 Å, b = 3.528 Å, c = 18.595 Å, α = 90.00°, β = 90.00° and γ = 90.00°. The asymmetric unit holds Co at (0.000, 0.250, 0.121), Ir at (0.000, 0.250, 0.549) and Ir at (0.000, 0.250, 0.691).

=====

Density functional theory data (PBE) for a relaxed structure of CoIr2.

It has space group C2/m (No. 12), with a = 9.763 Å, b = 2.706 Å, c = 6.321 Å, α = 90.00°, β = 104.81° and γ = 90.00°. The asymmetric unit holds Co at (0.028, 0.000, 0.310), Ir at (0.136, 0.500, 0.027) and Ir at (0.190, 0.500, 0.634).

=====

Density functional theory data (PBE) for a relaxed structure of CoIr.

It has space group P-6m2 (No. 187), with a = 2.6841 Å, b = 2.6841 Å, c = 4.1783 Å, α = 90.00°, β = 90.00° and γ = 120.00°. The asymmetric unit holds Co at (0.0000, 0.0000, 0.0000) and Ir at (0.6667, 0.3333, 0.5000).

=====

Density functional theory data (PBE) for a relaxed structure of CoIr.

It has space group P6_3/m (No. 176), with a = 10.6195 Å, b = 10.6195 Å, c = 2.5204 Å, α = 90.00°, β = 90.00° and γ = 120.00°. The asymmetric unit holds Co at (0.1143, 0.4473, 0.2500) and Ir at (0.1143, 0.6625, 0.2500).

=====

Density functional theory data (PBE) for a relaxed structure of CoIr.

It has space group P2/m (No. 10), with a = 4.485 Å, b = 2.674 Å, c = 12.777 Å, α = 90.00°, β = 95.92° and γ = 90.00°. The asymmetric unit holds Co at (0.091, 0.000, 0.250), Co at (0.189, 0.000, 0.582), Co at (0.301, 0.000, 0.916), Ir at (0.201, 0.500, 0.084), Ir at (0.300, 0.500, 0.417) and Ir at (0.396, 0.500, 0.749).

=====

Density functional theory data (PBE) for a relaxed structure of Co3Ir5.

It has space group P6_3/mcm (No. 193), with a = 7.1700 Å, b = 7.1700 Å, c = 4.9387 Å, α = 90.00°, β = 90.00° and γ = 120.00°. The asymmetric unit holds Co at (0.0000, 0.4157, 0.2500), Ir at (0.0000, 0.2171, 0.7500) and Ir at (0.3333, 0.6667, 0.0000).

=====

Density functional theory data (PBE) for a relaxed structure of Co7Ir.

It has space group Fm-3m (No. 225), with a = 7.172 Å, b = 7.172 Å, c = 7.172 Å, α = 90.00°, β = 90.00° and γ = 90.00°. The asymmetric unit holds Co at (0.000, 0.000, 0.000), Co at (0.000, 0.250, 0.250) and Ir at (0.000, 0.000, 0.500).

=====

Density functional theory data (PBE) for a relaxed structure of Co5Ir3.

It has space group C2/c (No. 15), with a = 9.866 Å, b = 9.064 Å, c = 4.927 Å, α = 90.00°, β = 115.95° and γ = 90.00°. The asymmetric unit holds Co at (0.000, 0.042, 0.250), Co at (0.126, 0.289, 0.498), Co at (0.247, 0.042, 0.742), Ir at (0.000, 0.459, 0.750) and Ir at (0.126, 0.204, 0.005).

=====

Density functional theory data (PBE) for a relaxed structure of CoIr2.

It has space group Pa-3 (No. 205), with a = 5.722 Å, b = 5.722 Å, c = 5.722 Å, α = 90.00°, β = 90.00° and γ = 90.00°. The asymmetric unit holds Co at (0.000, 0.000, 0.000) and Ir at (0.121, 0.621, 0.879).

=====

no.,E_tot (eV per atom)
1,-7.269
2,-7.847
3,-7.971
4,-7.072
5,-8.211
6,-7.942
7,-7.823
8,-8.249
9,-7.934
10,-7.650
11,-7.983
12,-7.930
13,-8.257
14,-7.962
15,-7.066
16,-7.949
17,-7.805
18,-7.288
19,-7.748
20,-7.382